A relaxed Na2Cd5In2 crystal, computed with PBE-GGA.

Structure (POSCAR):
```
Na2Cd5In2
1.0
-3.8189 2.6604 2.5230
0.0532 -5.2935 0.0635
5.2040 0.1449 7.7240
Na Cd In
2 5 2
Direct
0.4608 0.5392 0.8264
0.4608 0.5392 0.1736
0.7935 0.2065 0.1622
0.7935 0.2065 0.8378
0.1307 0.8693 0.6673
0.1307 0.8693 0.3327
0.4676 0.5324 0.5000
0.1268 0.8732 0.0000
0.7998 0.2002 0.5000
```

Properties
energy relative to the elements: -0.007 eV/atom
E_tot: -1.4173 eV/atom
symmetry: Amm2 (38)
E above lowest polymorph: 18 meV per atom

A relaxed Tb4Nd5Sc crystal, computed with PBE-GGA.

Structure (POSCAR):
```
Tb4Nd5Sc
1.0
3.5193 -0.0038 -0.7333
-0.4073 9.9455 -2.0490
0.1365 -0.6190 9.4727
Tb Nd Sc
4 5 1
Direct
0.6997 0.0996 0.3984
0.0986 0.2906 0.1977
0.3003 0.9004 0.6016
0.9014 0.7094 0.8023
0.6994 0.6006 0.3997
0.0975 0.8082 0.1946
0.9025 0.1918 0.8054
0.5000 0.5000 0.0000
0.3006 0.3994 0.6003
0.5000 0.0000 0.0000
```

Properties
energy relative to the elements: 0.030 eV/atom
E_tot: -4.8388 eV/atom
symmetry: P-1 (2)
E above lowest polymorph: 0 meV per atom

A relaxed Li2SbPt2 crystal, computed with PBE-GGA.

Structure (POSCAR):
```
Li2SbPt2
1.0
7.2203 0.0000 0.0000
0.0000 7.2203 0.0000
0.0000 0.0000 2.9668
Sb Pt Li
2 4 4
Direct
0.0000 0.0000 0.0000
0.5000 0.5000 0.0000
0.1828 0.6828 0.5000
0.6828 0.8172 0.5000
0.8172 0.3172 0.5000
0.3172 0.1828 0.5000
0.3853 0.8853 0.0000
0.8853 0.6147 0.0000
0.6147 0.1147 0.0000
0.1147 0.3853 0.0000
```

Properties
E_tot: -4.3936 eV/atom
symmetry: P4/mbm (127)
E above lowest polymorph: 166 meV per atom
E_form (uncorrected): -0.3873 eV/atom

A relaxed YGaTcH2 crystal, computed with PBE-GGA.

Structure (POSCAR):
```
YGaTcH2
1.0
3.8075 0.0000 0.0000
0.0000 5.8328 0.0000
0.0000 0.0000 3.8075
Y H Tc Ga
1 2 1 1
Direct
0.0000 0.0000 0.0000
0.0000 0.0000 0.5000
0.5000 0.0000 0.0000
0.0000 0.5000 0.0000
0.5000 0.5000 0.5000
```

Properties
E_tot: -4.9480 eV/atom
symmetry: P4/mmm (123)

A relaxed Nd2SbRh crystal, computed with PBE-GGA.

Structure (POSCAR):
```
Nd2SbRh
1.0
-1.7215 -1.4032 3.7318
5.4294 1.1359 2.9318
-5.1715 6.8059 0.1734
Nd Sb Rh
4 2 2
Direct
0.7500 0.2117 0.4504
0.2500 0.7883 0.5496
0.2500 0.7729 0.0992
0.7500 0.2271 0.9008
0.2500 0.3268 0.2055
0.7500 0.6732 0.7945
0.7500 0.6627 0.2923
0.2500 0.3373 0.7077
```

Properties
E_tot: -6.1392 eV/atom
symmetry: P2_1/m (11)
E_form (uncorrected): -0.8869 eV/atom

A relaxed LaZrTl2 crystal, computed with PBE-GGA.

Structure (POSCAR):
```
LaZrTl2
1.0
-3.2419 2.4139 -1.5923
1.1349 -0.5501 -3.1446
-3.0457 -6.4789 -3.6207
Tl Zr La
2 1 1
Direct
0.0000 0.9696 0.0308
0.0000 0.5304 0.4692
0.5000 0.2500 0.2500
0.5000 0.7500 0.7500
```

Properties
energy relative to the elements: -0.198 eV/atom
E_tot: -4.7504 eV/atom
symmetry: Pmmm (47)